No. 1
Below is an optimized crystal structure of CaOs2Pb, with properties calculated at the PBE level.

Values from the calculation:
* E: -6.219 eV per atom
* formation energy: 0.82 eV per atom

Cell and atoms, written as POSCAR:
```
CaOs2Pb
1.0
-0.877 -0.132 4.679
0.125 -4.151 2.330
3.534 -0.908 3.060
Pb Ca Os
1 1 2
Direct
0.750 0.750 0.750
0.500 0.500 0.500
0.000 0.000 0.000
0.250 0.250 0.250
```



No. 2
Below is an optimized crystal structure of CaOs3Pb, with properties calculated at the PBE level.

Values from the calculation:
* E: -5.532 eV per atom
* formation energy: 2.35 eV per atom
* distance to the lowest polymorph of the same formula: 0.000 eV/atom

Cell and atoms, written as POSCAR:
```
CaOs3Pb
1.0
5.022 0.000 0.000
0.000 5.022 0.000
0.000 0.000 5.022
Pb Ca Os
1 1 3
Direct
0.000 0.000 0.000
0.500 0.500 0.500
0.000 0.500 0.000
0.000 0.000 0.500
0.500 0.000 0.000
```



No. 3
Below is an optimized crystal structure of CaOsPb2, with properties calculated at the PBE level.

Values from the calculation:
* E: -4.729 eV per atom
* formation energy: 0.43 eV per atom

Cell and atoms, written as POSCAR:
```
CaOsPb2
1.0
-1.302 1.209 -4.741
-3.461 -0.234 0.891
-1.740 5.144 1.790
Pb Ca Os
2 1 1
Direct
0.000 0.819 0.986
0.500 0.206 0.215
0.000 0.543 0.540
0.500 0.932 0.759
```



No. 4
Below is an optimized crystal structure of CaOs2Pb, with properties calculated at the PBE level.

Values from the calculation:
* E: -6.802 eV per atom
* formation energy: 0.24 eV per atom

Cell and atoms, written as POSCAR:
```
CaOs2Pb
1.0
4.123 -0.011 0.003
2.069 3.567 0.003
2.051 1.178 6.702
Pb Ca Os
1 1 2
Direct
0.475 0.475 0.574
0.270 0.270 0.192
0.032 0.032 0.905
0.724 0.724 0.829
```